No. 1
VASP calculation (PBE) on a relaxed structure of Lu2Fe3Mo4C3. Values from VASP.

Geometry as Quantum ESPRESSO input:
```
&SYSTEM
  ibrav = 0, nat = 24, ntyp = 4
/
ATOMIC_SPECIES
C 12.01 C.upf
Mo 95.94 Mo.upf
Fe 55.84 Fe.upf
Lu 174.97 Lu.upf
ATOMIC_POSITIONS angstrom
C -1.254 2.287 6.683
Mo -0.441 0.747 5.575
Fe 0.504 0.711 10.015
C 1.337 0.750 0.000
Mo -0.406 3.810 1.109
Mo 0.526 2.197 12.256
Lu -2.169 0.743 8.345
Lu 2.216 2.314 1.660
Fe -3.457 2.998 10.038
Fe -0.795 3.034 10.027
Lu 2.293 2.270 5.024
C -1.335 2.313 0.000
Fe 3.580 0.015 3.331
Lu -2.093 0.699 11.708
C 1.378 0.726 6.686
Mo 0.529 -0.798 12.259
Fe -0.380 2.302 3.353
Mo 0.564 2.266 7.794
Mo 0.488 -0.865 7.797
Mo -0.403 0.816 1.112
Mo -0.365 3.878 5.572
C -1.274 -0.806 6.684
Fe 0.919 -0.021 3.342
C 1.334 3.876 0.000
CELL_PARAMETERS angstrom
5.340 0.000 0.000
-2.669 4.625 0.000
-2.548 -1.613 13.369
```

Values from the calculation:
M_tot ... 5.98 μB/f.u.
Space group ... C2/c
Calculated total energy ... -8.9389 eV per atom

No. 2
VASP calculation (PBE) on a relaxed structure of Lu4Fe2CN. Values from VASP.

Geometry as Quantum ESPRESSO input:
```
&SYSTEM
  ibrav = 0, nat = 8, ntyp = 4
/
ATOMIC_SPECIES
C 12.01 C.upf
Lu 174.97 Lu.upf
Fe 55.84 Fe.upf
N 14.01 N.upf
ATOMIC_POSITIONS angstrom
C 0.000 0.000 0.000
Lu -0.957 -2.163 0.075
Lu -2.908 -3.885 3.509
Lu -7.386 -5.254 9.100
Fe -3.244 -1.596 1.806
Fe -5.099 -5.821 7.368
Lu -5.436 -3.532 5.666
N -3.181 -2.809 5.601
CELL_PARAMETERS angstrom
-2.935 1.263 -1.033
0.953 -3.062 -0.995
-6.361 -5.618 11.202
```

Values from the calculation:
M_tot ... 3.62 μB/f.u.
Space group ... P-3m1
Calculated total energy ... -6.8097 eV per atom